No. 1
LaSm4HoEr2: relaxed, GGA-PBE.

## Properties
ΔE_f: 21 meV/atom
Fermi-level density of states: 11.39 states/eV/cell

Cell and atoms, written as extended XYZ:
```
8
Lattice="6.214 0.000 0.000 0.000 3.612 0.000 -2.099 0.000 11.752" Properties=species:S:1:pos:R:3 pbc="T T T"
La 0.000 0.000 0.000
Sm -0.012 0.000 8.790
Sm 1.023 1.806 2.994
Sm 4.127 0.000 2.962
Sm 3.092 1.806 8.758
Ho -1.049 1.806 5.876
Er 2.057 0.000 5.876
Er 3.107 1.806 0.000
```

=====

No. 2
La2SmHoEr2: relaxed, GGA-PBE.

## Properties
ΔE_f: 68 meV/atom
Fermi-level density of states: 19.84 states/eV/cell

Cell and atoms, written as extended XYZ:
```
12
Lattice="5.714 0.000 0.000 0.000 9.870 0.000 0.000 0.000 7.101" Properties=species:S:1:pos:R:3 pbc="T T T"
La 0.000 0.005 0.000
La 0.000 9.864 3.550
La 2.857 1.768 1.778
La 2.857 8.101 5.328
Sm 0.000 3.365 5.319
Sm 0.000 6.505 1.769
Ho 2.857 4.938 3.546
Ho 2.857 4.932 7.096
Er 0.000 3.306 1.771
Er 0.000 6.564 5.321
Er 2.857 1.637 5.326
Er 2.857 8.232 1.776
```

=====

No. 3
LaSmHo3Er: relaxed, GGA-PBE.

## Properties
ΔE_f: 201 meV/atom
Fermi-level density of states: 20.17 states/eV/cell

Cell and atoms, written as extended XYZ:
```
12
Lattice="9.843 -2.819 0.000 9.843 2.819 0.000 -0.088 0.000 7.107" Properties=species:S:1:pos:R:3 pbc="T T T"
La 2.846 0.000 0.212
La 16.752 0.000 6.895
Sm 8.749 0.000 5.178
Sm 10.850 0.000 1.930
Ho 0.398 0.000 5.204
Ho 5.434 0.000 5.381
Ho 6.582 0.000 1.950
Ho 13.017 0.000 5.157
Ho 14.165 0.000 1.727
Ho 19.200 0.000 1.903
Er 2.925 0.000 3.247
Er 16.674 0.000 3.860
```

=====

No. 4
La2Sm2Ho4Er: relaxed, GGA-PBE.

## Properties
ΔE_f: 5 meV/atom
Fermi-level density of states: 13.17 states/eV/cell

Cell and atoms, written as extended XYZ:
```
9
Lattice="9.402 -1.815 0.000 9.402 1.815 0.000 -4.180 0.000 8.680" Properties=species:S:1:pos:R:3 pbc="T T T"
La 3.094 0.000 0.003
La 11.530 0.000 8.678
Sm 5.231 0.000 2.930
Sm 9.393 0.000 5.750
Ho -1.014 0.000 2.896
Ho 3.153 0.000 5.750
Ho 11.471 0.000 2.930
Ho 15.638 0.000 5.784
Er 9.402 0.000 0.000
```

=====

No. 5
La5Sm2HoEr: relaxed, GGA-PBE.

## Properties
ΔE_f: 281 meV/atom
Fermi-level density of states: 31.73 states/eV/cell

Cell and atoms, written as extended XYZ:
```
18
Lattice="-4.289 4.289 8.751 4.289 -4.289 8.751 4.289 4.289 -8.751" Properties=species:S:1:pos:R:3 pbc="T T T"
La 0.000 0.000 0.000
La 6.167 1.878 -2.501
La 1.878 2.412 -2.501
La 6.167 1.878 2.501
La 1.878 2.412 2.501
La 0.000 0.000 8.751
La 2.412 1.878 6.251
La -1.878 2.412 6.251
La 2.412 1.878 11.252
La -1.878 2.412 11.252
Sm 3.222 1.067 0.000
Sm 3.222 -1.067 8.751
Sm 1.067 5.357 0.000
Sm 1.067 3.222 8.751
Ho 0.000 0.000 4.376
Ho 0.000 0.000 13.127
Er 4.289 0.000 4.376
Er 0.000 4.289 4.376
```

=====

No. 6
La3Sm6Ho2Er: relaxed, GGA-PBE.

## Properties
ΔE_f: 23 meV/atom
Fermi-level density of states: 18.88 states/eV/cell

Cell and atoms, written as extended XYZ:
```
12
Lattice="3.145 -5.453 0.000 3.145 5.453 0.000 -2.106 0.000 11.860" Properties=species:S:1:pos:R:3 pbc="T T T"
La 0.000 0.000 0.000
La 3.145 1.821 0.000
La 3.145 -1.821 0.000
Sm 1.047 1.817 3.047
Sm -0.007 0.000 8.816
Sm 1.047 -1.817 3.047
Sm 3.137 1.817 8.813
Sm 4.191 0.000 3.044
Sm 3.137 -1.817 8.813
Ho 2.092 3.636 5.930
Ho 2.092 -3.636 5.930
Er 2.092 0.000 5.930
```

=====

No. 7
LaTb2HoEr: relaxed, GGA-PBE.

## Properties
ΔE_f: 268 meV/atom
Fermi-level density of states: 8.44 states/eV/cell

Cell and atoms, written as extended XYZ:
```
5
Lattice="3.622 0.000 0.000 0.000 5.582 0.000 0.000 0.000 8.575" Properties=species:S:1:pos:R:3 pbc="T T T"
La 0.000 0.000 0.000
Tb 0.000 2.791 2.750
Tb 0.000 2.791 5.826
Ho 1.811 2.791 0.000
Er 1.811 0.000 4.288
```

=====

No. 8
La3Tb6HoEr2: relaxed, GGA-PBE.

## Properties
ΔE_f: 23 meV/atom
Fermi-level density of states: 17.41 states/eV/cell

Cell and atoms, written as extended XYZ:
```
12
Lattice="3.115 -5.398 0.000 3.115 5.398 0.000 -2.081 0.000 11.731" Properties=species:S:1:pos:R:3 pbc="T T T"
La 0.000 0.000 0.000
La 3.115 1.799 0.000
La 3.115 -1.799 0.000
Tb 1.038 1.800 3.010
Tb -0.006 0.000 8.720
Tb 1.038 -1.800 3.010
Tb 3.110 1.800 8.720
Tb 4.154 0.000 3.011
Tb 3.110 -1.800 8.720
Ho 2.074 0.000 5.865
Er 2.074 3.599 5.865
Er 2.074 -3.599 5.865
```

=====

No. 9
LaTb6HoEr2: relaxed, GGA-PBE.

## Properties
ΔE_f: 120 meV/atom
Fermi-level density of states: 30.11 states/eV/cell

Cell and atoms, written as extended XYZ:
```
20
Lattice="4.612 -7.501 0.000 4.612 7.501 0.000 -0.921 0.000 9.431" Properties=species:S:1:pos:R:3 pbc="T T T"
La 3.922 7.005 7.073
La 4.382 -7.005 2.358
Tb 1.989 4.088 6.422
Tb 3.983 4.762 0.541
Tb 4.782 4.762 4.175
Tb 2.918 1.679 8.343
Tb 5.855 4.088 7.725
Tb 4.926 1.679 5.804
Tb 3.378 -1.679 3.627
Tb 2.450 -4.088 1.706
Tb 5.386 -1.679 1.089
Tb 3.523 -4.762 5.256
Tb 4.321 -4.762 8.891
Tb 6.315 -4.088 3.010
Ho 4.382 1.341 2.358
Ho 3.922 -1.341 7.073
Er 1.833 0.774 5.197
Er 2.293 -0.774 0.482
Er 6.011 0.774 8.949
Er 6.471 -0.774 4.234
```

=====

No. 10
La4TbHo2Er: relaxed, GGA-PBE.

## Properties
ΔE_f: 21 meV/atom
Fermi-level density of states: 10.75 states/eV/cell

Cell and atoms, written as extended XYZ:
```
8
Lattice="5.222 0.000 0.000 0.000 5.252 0.000 0.000 0.000 9.910" Properties=species:S:1:pos:R:3 pbc="T T T"
La 0.000 0.000 2.469
La 0.000 0.000 7.442
La 2.611 2.626 2.467
La 2.611 2.626 7.443
Tb 0.000 2.626 4.955
Ho 0.000 2.626 0.000
Ho 2.611 0.000 4.955
Er 2.611 0.000 0.000
```

=====

Q: The highest ΔE_f belongs to which entry?
A: La5Sm2HoEr